! TlZn2Au | Alexandria | GGA-PBE | relaxed; values from VASP
&SYSTEM
  ibrav = 0, nat = 4, ntyp = 3
/
ATOMIC_SPECIES
Tl 204.38 Tl.upf
Zn 65.41 Zn.upf
Au 196.97 Au.upf
ATOMIC_POSITIONS crystal
Tl 0.000 0.000 0.000
Zn 0.500 0.000 0.500
Zn 0.500 0.500 0.000
Au 0.000 0.500 0.500
CELL_PARAMETERS angstrom
3.954 0.000 0.000
0.000 4.078 0.000
0.000 0.000 4.933
! * energy above the most stable polymorph in this dataset: 0.124 eV/atom
! * space-group type: Pmmm, No. 47
! * energy of formation: 0.119 eV per atom
! * spin magnetization: 0.000 μB per atom
! * mass density: 11.1 Mg/m³